This record from Alexandria via LeMat-Bulk describes an optimized crystal structure of BaYMn2O5. The functional is GGA+U.

abc: 3.976 3.976 7.838
angles: 90.00 90.00 90.00
Site moments in Bohr magnetons follow the coordinates.
Atoms (fractional coordinates):
Ba1 0.000 0.500 0.000  0.00
Y1 0.000 0.500 0.500  0.02
Mn1 0.500 0.000 0.266  4.27
Mn2 0.500 0.000 0.734  4.27
O1 0.500 0.000 0.000  0.10
O2 0.000 0.000 0.319  -0.01
O3 0.500 0.500 0.319  -0.01
O4 0.000 0.000 0.681  -0.01
O5 0.500 0.500 0.681  -0.01

Volume, Å³ per atom: 13.8
Space group: No. 123
VASP energy, eV per atom: -7.742
Theoretical density, kg/m³: 5575